# 1
A relaxed CrRe3 crystal, computed with PBE.

Computed properties:
D(E_F): 3.97 states/eV per cell
Total DFT energy (no corrections): -11.58 eV/atom
Spin magnetization: 0.00 μB/f.u.
E_form: 0.162 eV per atom

Unit cell a=2.6944 b=4.2236 c=5.1820 alpha=90.00 beta=103.03 gamma=90.00
Atoms (fractional coordinates):
Cr: 0.0000 0.0000 0.0000
Re: 0.1837 0.5000 0.7600
Re: 0.5000 0.0000 0.5000
Re: 0.8163 0.5000 0.2400

# 2
A relaxed TiBe2CrPt crystal, computed with PBE.

Computed properties:
D(E_F): 3.45 states/eV per cell
Total DFT energy (no corrections): -5.61 eV/atom
Spin magnetization: 0.00 μB/f.u.
E_form: 0.594 eV per atom

Unit cell a=4.1083 b=4.1083 c=4.6979 alpha=90.00 beta=90.00 gamma=90.00
Atoms (fractional coordinates):
Ti: 0.0000 0.0000 0.0000
Be: 0.0000 0.5000 0.5000
Be: 0.5000 0.0000 0.5000
Cr: 0.5000 0.5000 0.0000
Pt: 0.5000 0.5000 0.5000

# 3
A relaxed Pu2ScPaAs4 crystal, computed with PBE.

Computed properties:
D(E_F): 20.23 states/eV per cell
Total DFT energy (no corrections): -9.02 eV/atom
Spin magnetization: 11.15 μB/f.u.
E_form: -1.132 eV per atom

Unit cell a=7.0263 b=4.0907 c=7.0605 alpha=90.00 beta=109.52 gamma=90.00
Atoms (fractional coordinates):
Pu: 0.0000 0.0000 0.0000
Pu: 0.5000 0.5000 0.0000
Sc: 0.0000 0.5000 0.5000
Pa: 0.5000 0.0000 0.5000
As: 0.2411 0.0000 0.7380
As: 0.2460 0.5000 0.2585
As: 0.7540 0.5000 0.7415
As: 0.7589 0.0000 0.2620

- What is the total DFT energy (no corrections) in the first record?
  -11.58 eV/atom

- Number 1 is which compound?
  CrRe3

- Look up the spin magnetization of the third one.
  11.15 μB/f.u.